Compound: Sm2InPb3
Source: Alexandria
Functional: PBE
Structure: optimized geometry

Computed properties:
V in Å³ per atom: 31.3
Total magnetic moment in μB/atom: 0.00
ΔE to the lowest computed polymorph in eV/atom: 0.293
D(E_F) in states/eV per atom: 0.8266

Cell lengths 3.493, 5.853, 18.394 Å; angles 90.00, 90.00, 90.00 degrees
Space group Immm (No. 71)
Asymmetric unit:
Sm 0.000 0.000 0.154
In 0.000 0.000 0.500
Pb 0.000 0.000 0.331
Pb 0.000 0.500 0.500